Record 1
First-principles (PBE) data for an optimized crystal structure of Rh5Cl, as listed in Alexandria via LeMat-Bulk.

Values from the calculation:
Energy relative to the lowest polymorph listed for this composition in kJ/mol of formula units: 59
Crystal system: monoclinic

Unit cell a=10.036 b=2.777 c=6.572 alpha=90.00 beta=103.35 gamma=90.00
Fractional positions:
Rh: 0.000 0.000 0.000
Rh: 0.035 0.000 0.571
Rh: 0.150 0.500 0.306
Rh: 0.207 0.500 0.906
Rh: 0.368 0.000 0.246
Rh: 0.500 0.500 0.000
Rh: 0.535 0.500 0.571
Rh: 0.650 0.000 0.306
Rh: 0.707 0.000 0.906
Rh: 0.868 0.500 0.246
Cl: 0.348 0.000 0.697
Cl: 0.848 0.500 0.697

Record 2
First-principles (PBE) data for an optimized crystal structure of RhCl, as listed in Alexandria via LeMat-Bulk.

Values from the calculation:
Crystal system: hexagonal

Unit cell a=3.126 b=3.126 c=8.081 alpha=90.00 beta=90.00 gamma=120.00
Fractional positions:
Rh: 0.333 0.667 0.000
Rh: 0.667 0.333 0.500
Cl: 0.333 0.667 0.721
Cl: 0.667 0.333 0.221

Record 3
First-principles (PBE) data for an optimized crystal structure of RhCl2, as listed in Alexandria via LeMat-Bulk.

Values from the calculation:
Crystal system: hexagonal

Unit cell a=6.621 b=6.621 c=5.889 alpha=90.00 beta=90.00 gamma=120.00
Fractional positions:
Rh: 0.000 0.000 0.000
Rh: 0.333 0.667 0.500
Rh: 0.667 0.333 0.500
Cl: 0.000 0.313 0.500
Cl: 0.000 0.658 0.000
Cl: 0.313 0.000 0.500
Cl: 0.342 0.342 0.000
Cl: 0.658 0.000 0.000
Cl: 0.687 0.687 0.500

Record 4
First-principles (PBE) data for an optimized crystal structure of Rh2Cl, as listed in Alexandria via LeMat-Bulk.

Values from the calculation:
Energy relative to the lowest polymorph listed for this composition in kJ/mol of formula units: 32
Crystal system: trigonal

Unit cell a=2.994 b=2.994 c=5.968 alpha=90.00 beta=90.00 gamma=120.00
Fractional positions:
Rh: 0.333 0.667 0.162
Rh: 0.667 0.333 0.838
Cl: 0.000 0.000 0.500

Record 5
First-principles (PBE) data for an optimized crystal structure of Rh4Cl3, as listed in Alexandria via LeMat-Bulk.

Values from the calculation:
Crystal system: hexagonal

Unit cell a=5.767 b=5.767 c=4.443 alpha=90.00 beta=90.00 gamma=120.00
Fractional positions:
Rh: 0.000 0.000 0.250
Rh: 0.000 0.000 0.750
Rh: 0.333 0.667 0.000
Rh: 0.667 0.333 0.000
Cl: 0.000 0.500 0.500
Cl: 0.500 0.000 0.500
Cl: 0.500 0.500 0.500

Record 6
First-principles (PBE) data for an optimized crystal structure of RhCl, as listed in Alexandria via LeMat-Bulk.

Values from the calculation:
Crystal system: monoclinic

Unit cell a=5.387 b=3.118 c=4.176 alpha=90.00 beta=115.21 gamma=90.00
Fractional positions:
Rh: 0.000 0.000 0.000
Rh: 0.500 0.500 0.000
Cl: 0.000 0.500 0.500
Cl: 0.500 0.000 0.500

The records above give, respectively, formation energy without anion corrections values of 365 334 154 333 1107 414 meV/atom.
The records above give, respectively, ρ values of 10.2 6.7 3.9 8.6 6.7 7.2 g/cm3.